Material: Li2V2HgO7
Method: DFT, PBE+U
State: optimized geometry

The space group is R32 (No. 155, hexagonal axes) and the conventional cell measures 5.4026, 5.4026 and 23.2835 Å, with angles of 90.00, 90.00 and 120.00 degrees. The inequivalent atoms are Li at (0.0000, 0.0000, 0.2333), V at (0.0000, 0.0000, 0.0775), Hg at (0.0000, 0.0000, 0.5000), O at (0.0000, 0.0000, 0.0000) and O at (0.0025, 0.3019, 0.1024).

The value obtained for the total energy is -6.164 eV/atom. The calculation puts the total moment at 0.00 μB per formula unit.